The following is a DFT calculation (PBE) of BaAc2ReN5 after structural relaxation.

The formation energy from raw total energies is -523 meV per atom. The final energy comes out at -7.657 eV per atom.

It has space group P4/mbm (No. 127), with a = 7.331 Å, b = 7.331 Å, c = 6.123 Å, α = 90.00°, β = 90.00° and γ = 90.00°. The asymmetric unit holds Ba at (0.000, 0.000, 0.000), Ac at (0.177, 0.323, 0.500), Re at (0.000, 0.500, 0.000), N at (0.000, 0.000, 0.500) and N at (0.128, 0.628, 0.226).